A plane-wave DFT calculation with PBE-GGA was carried out for crystalline CeZr2Ir at its relaxed geometry.

Lattice parameters (Å, degrees): 3.3483 3.3483 7.7495 90.00 90.00 90.00
With the nearest neighbours (Å) after each atom.
Space group P4/mmm (No. 123)
Inequivalent atoms, fractional coordinates:
Ce1 0.0000 0.0000 0.0000 [1 per cell]  8 Zr 3.28, 4 Ce 3.35
Zr1 0.5000 0.5000 0.2935 [2 per cell]  4 Ir 2.86, 1 Zr 3.20
Ir1 0.0000 0.0000 0.5000 [1 per cell]  8 Zr 2.86

Properties
Distance to the lowest polymorph of the same formula (kJ/mol of formula units): 20.9
Formation energy from the elements (eV/atom): -0.35
Total energy (eV/atom): -8.326
Density of states at the Fermi level (states/eV per cell): 6.2



A plane-wave DFT calculation with PBE-GGA was carried out for crystalline CeZrIr at its relaxed geometry.

Lattice parameters (Å, degrees): 4.6594 4.6594 6.6179 90.00 90.00 90.00
With the nearest neighbours (Å) after each atom.
Space group P4/nmm (No. 129, origin choice 2)
Inequivalent atoms, fractional coordinates:
Ce1 0.2500 0.2500 0.1247 [2 per cell]  1 Ir 2.70
Zr1 0.2500 0.7500 0.5000 [2 per cell]  4 Ir 2.73
Ir1 0.2500 0.2500 0.7162 [2 per cell]  1 Ce 2.70, 4 Zr 2.73

Properties
Distance to the lowest polymorph of the same formula (kJ/mol of formula units): 0.0
Formation energy from the elements (eV/atom): -0.56
Total energy (eV/atom): -8.339
Density of states at the Fermi level (states/eV per cell): 16.9



A plane-wave DFT calculation with PBE-GGA was carried out for crystalline CeZrIr at its relaxed geometry.

Lattice parameters (Å, degrees): 6.6726 6.6726 6.6726 90.00 90.00 90.00
With the nearest neighbours (Å) after each atom.
Space group F-43m (No. 216)
Inequivalent atoms, fractional coordinates:
Ce1 0.0000 0.0000 0.0000 [4 per cell]  4 Ir 2.89
Zr1 0.0000 0.0000 0.5000 [4 per cell]  4 Ir 2.89
Ir1 0.2500 0.2500 0.7500 [4 per cell]  4 Zr 2.89, 4 Ce 2.89

Properties
Distance to the lowest polymorph of the same formula (kJ/mol of formula units): 61.5
Formation energy from the elements (eV/atom): -0.35
Total energy (eV/atom): -8.126
Density of states at the Fermi level (states/eV per cell): 30.5



A plane-wave DFT calculation with PBE-GGA was carried out for crystalline CeZrIr2 at its relaxed geometry.

Lattice parameters (Å, degrees): 3.9837 3.9837 18.8679 90.00 90.00 120.00
With the nearest neighbours (Å) after each atom.
Space group R-3m (No. 166, hexagonal axes)
Inequivalent atoms, fractional coordinates:
Ce1 0.0000 0.0000 0.0000 [3 per cell]  6 Ir 2.85
Zr1 0.0000 0.0000 0.5000 [3 per cell]  6 Ir 2.72
Ir1 0.0000 0.0000 0.2440 [6 per cell]  3 Zr 2.72, 3 Ce 2.85

Properties
Distance to the lowest polymorph of the same formula (kJ/mol of formula units): 46.8
Formation energy from the elements (eV/atom): -0.60
Total energy (eV/atom): -8.656
Density of states at the Fermi level (states/eV per cell): 9.0



A plane-wave DFT calculation with PBE-GGA was carried out for crystalline Ce5ZrIr5 at its relaxed geometry.

Lattice parameters (Å, degrees): 12.6329 5.6099 8.0503 90.00 108.95 90.00
With the nearest neighbours (Å) after each atom.
Space group C2/m (No. 12)
Inequivalent atoms, fractional coordinates:
Ce1 0.0000 0.0000 0.0000 [2 per cell]  4 Ir 2.73-2.82
Ce2 0.1686 0.5000 0.3408 [4 per cell]  5 Ir 2.81-2.88
Ce3 0.1744 0.5000 0.8286 [4 per cell]  5 Ir 2.81-2.85
Zr1 0.0000 0.0000 0.5000 [2 per cell]  6 Ir 2.74-2.80
Ir1 0.0000 0.5000 0.5000 [2 per cell]  2 Zr 2.80, 4 Ce 2.82-2.84
Ir2 0.1551 0.0000 0.3288 [4 per cell]  5 Ce 2.73-2.86, 1 Zr 2.74
Ir3 0.1627 0.0000 0.8294 [4 per cell]  1 Zr 2.78, 5 Ce 2.81-2.88

Properties
Formation energy from the elements (eV/atom): -0.64
Total energy (eV/atom): -8.139
Density of states at the Fermi level (states/eV per cell): 35.7



A plane-wave DFT calculation with PBE-GGA was carried out for crystalline KCe4 at its relaxed geometry.

Lattice parameters (Å, degrees): 5.4651 5.4651 5.4651 90.00 90.00 90.00
With the nearest neighbours (Å) after each atom.
Space group Pm-3m (No. 221)
Inequivalent atoms, fractional coordinates:
K1 0.0000 0.0000 0.0000 [1 per cell]  6 Ce 2.73
Ce1 0.0000 0.0000 0.5000 [3 per cell]  2 K 2.73
Ce2 0.5000 0.5000 0.5000 [1 per cell]  12 Ce 3.86

Properties
Formation energy from the elements (eV/atom): 1.20
Total energy (eV/atom): -3.767
Density of states at the Fermi level (states/eV per cell): 19.3



A plane-wave DFT calculation with PBE-GGA was carried out for crystalline KCe3 at its relaxed geometry.

Lattice parameters (Å, degrees): 5.1378 5.1378 5.1378 90.00 90.00 90.00
With the nearest neighbours (Å) after each atom.
Space group Pm-3m (No. 221)
Inequivalent atoms, fractional coordinates:
K1 0.0000 0.0000 0.0000 [1 per cell]  12 Ce 3.63
Ce1 0.0000 0.5000 0.5000 [3 per cell]  8 Ce 3.63, 4 K 3.63

Properties
Formation energy from the elements (eV/atom): 0.73
Total energy (eV/atom): -4.000
Density of states at the Fermi level (states/eV per cell): 15.2



A plane-wave DFT calculation with PBE-GGA was carried out for crystalline K3La2CeO6 at its relaxed geometry.

Lattice parameters (Å, degrees): 6.4144 11.1108 6.6449 90.00 108.78 90.00
With the nearest neighbours (Å) after each atom.
Space group C2/m (No. 12)
Inequivalent atoms, fractional coordinates:
K1 0.0000 0.0000 0.0000 [2 per cell]  6 O 2.88-2.92
K2 0.0000 0.3349 0.0000 [4 per cell]  6 O 2.87-2.93
La1 0.0000 0.1667 0.5000 [4 per cell]  6 O 2.47
Ce1 0.0000 0.5000 0.5000 [2 per cell]  6 O 2.42
O1 0.2272 0.3363 0.6906 [8 per cell]  1 Ce 2.42, 2 La 2.47
O2 0.2360 0.0000 0.6899 [4 per cell]  1 Ce 2.42, 2 La 2.47

Properties
Total energy (eV/atom): -6.707
Density of states at the Fermi level (states/eV per cell): 3.3
Formation energy without anion corrections (meV per atom): -2638



A plane-wave DFT calculation with PBE-GGA was carried out for crystalline K2LaCeO4 at its relaxed geometry.

Lattice parameters (Å, degrees): 6.3947 3.6902 6.6443 90.00 108.79 90.00
With the nearest neighbours (Å) after each atom.
Space group P2/m (No. 10)
Inequivalent atoms, fractional coordinates:
K1 0.0000 0.0000 0.0000 [1 per cell]  6 O 2.90-2.92
K2 0.5000 0.5000 0.0000 [1 per cell]  6 O 2.87
La1 0.0000 0.5000 0.5000 [1 per cell]  6 O 2.46-2.47
Ce1 0.5000 0.0000 0.5000 [1 per cell]  6 O 2.42-2.43
O1 0.2355 0.0000 0.6901 [2 per cell]  1 Ce 2.42, 2 La 2.46
O2 0.2747 0.5000 0.3096 [2 per cell]  2 Ce 2.43, 1 La 2.47

Properties
Total energy (eV/atom): -6.734
Density of states at the Fermi level (states/eV per cell): 2.4
Formation energy without anion corrections (meV per atom): -2623



A plane-wave DFT calculation with PBE-GGA was carried out for crystalline K2LaCeS4 at its relaxed geometry.

Lattice parameters (Å, degrees): 7.3812 4.2625 7.7577 90.00 108.48 90.00
With the nearest neighbours (Å) after each atom.
Space group P2/m (No. 10)
Inequivalent atoms, fractional coordinates:
K1 0.0000 0.0000 0.0000 [1 per cell]  6 S 3.28-3.29
K2 0.5000 0.5000 0.0000 [1 per cell]  6 S 3.26
La1 0.0000 0.5000 0.5000 [1 per cell]  6 S 2.91
Ce1 0.5000 0.0000 0.5000 [1 per cell]  6 S 2.88
S1 0.2391 0.0000 0.7077 [2 per cell]  1 Ce 2.88, 2 La 2.91
S2 0.2680 0.5000 0.2938 [2 per cell]  2 Ce 2.88, 1 La 2.91

Properties
Total energy (eV/atom): -5.550
Density of states at the Fermi level (states/eV per cell): 5.6
Formation energy without anion corrections (meV per atom): -1854



A plane-wave DFT calculation with PBE-GGA was carried out for crystalline K4La3CeS8 at its relaxed geometry.

Lattice parameters (Å, degrees): 8.5635 8.5635 22.0855 90.00 90.00 120.00
With the nearest neighbours (Å) after each atom.
Space group R-3m (No. 166, hexagonal axes)
Inequivalent atoms, fractional coordinates:
K1 0.0000 0.0000 0.0000 [3 per cell]  6 S 3.30
K2 0.0000 0.5000 0.0000 [9 per cell]  6 S 3.27-3.28
La1 0.0000 0.5000 0.5000 [9 per cell]  6 S 2.91
Ce1 0.0000 0.0000 0.5000 [3 per cell]  6 S 2.88
S1 0.0000 0.0000 0.2360 [6 per cell]  3 La 2.91
S2 0.0031 0.5015 0.2356 [18 per cell]  1 Ce 2.88, 2 La 2.91

Properties
Total energy (eV/atom): -5.520
Density of states at the Fermi level (states/eV per cell): 14.9
Formation energy without anion corrections (meV per atom): -1887